Material: K3RbCr2O8
Method: DFT, GGA+U
State: relaxed

Results
calculated volume	278	Å³/f.u.
electronic total energy	-82.0	eV/cell

Cell lengths 6.0759, 6.0759, 8.6849 Å; angles 90.00, 90.00, 120.00 degrees
Closest atoms and distances in Å follow each position.
Space group P-3m1 (No. 164)
Unique sites:
K (0.0000, 0.0000, 0.0000) [1 per cell]  6 O 3.03
K (0.3333, 0.6667, 0.7206) [2 per cell]  1 O 2.54
Rb (0.0000, 0.0000, 0.5000) [1 per cell]  6 O 2.79
Cr (0.3333, 0.6667, 0.2038) [2 per cell]  4 O 1.65-1.67
O (0.1836, 0.3673, 0.2683) [6 per cell]  1 Cr 1.67
O (0.3333, 0.6667, 0.0135) [2 per cell]  1 Cr 1.65